VASP calculation (GGA-PBE) on crystalline Nd2Hg6Pb at its relaxed geometry.

Cell: 5.9771 6.8272 6.8272 Å, 59.98 90.04 90.04°
Sites, in units of the cell vectors:
1 Hg 0.3295 0.8135 0.3728
2 Hg 0.3295 0.3728 0.8135
3 Hg 0.6718 0.1866 0.1866
4 Hg 0.3282 0.8134 0.8134
5 Hg 0.6705 0.1865 0.6272
6 Hg 0.6705 0.6272 0.1865
7 Pb 0.0000 0.0000 0.0000
8 Nd 0.1836 0.3332 0.3332
9 Nd 0.8164 0.6668 0.6668

Summary:
The crystal system is trigonal. Its energy above the most stable polymorph in this dataset is 0.041 eV per atom. Its formation energy is -0.24 eV/atom.

***

VASP calculation (GGA-PBE) on crystalline HfNpPd at its relaxed geometry.

Cell: 3.3505 3.3505 10.3175 Å, 88.10 88.10 86.31°
Sites, in units of the cell vectors:
1 Np 0.7836 0.7836 0.0558
2 Np 0.2164 0.2164 0.9442
3 Hf 0.2419 0.2419 0.5949
4 Hf 0.7581 0.7581 0.4051
5 Pd 0.7237 0.7237 0.7484
6 Pd 0.2763 0.2763 0.2516

Summary:
The crystal system is monoclinic. Its formation energy is -0.28 eV/atom.

***

VASP calculation (GGA-PBE) on crystalline Hf4Rh at its relaxed geometry.

Cell: 5.0931 5.0931 4.6743 Å, 90.00 90.00 90.00°
Sites, in units of the cell vectors:
1 Hf 0.5000 0.0000 0.5000
2 Hf 0.0000 0.0000 0.0000
3 Hf 0.0000 0.5000 0.5000
4 Hf 0.5000 0.5000 0.5000
5 Rh 0.5000 0.5000 0.0000

Summary:
The crystal system is tetragonal. Its energy above the most stable polymorph in this dataset is 1.192 eV per atom. Its formation energy is 1.00 eV/atom.

***

VASP calculation (GGA-PBE) on crystalline PrThTlAu at its relaxed geometry.

Cell: 5.4147 5.4147 5.4147 Å, 60.00 60.00 60.00°
Each line ends with the local moment (μB).
Sites, in units of the cell vectors:
1 Tl 0.5000 0.5000 0.5000  0.00
2 Pr 0.2500 0.2500 0.2500  0.12
3 Th 0.7500 0.7500 0.7500  0.14
4 Au 0.0000 0.0000 0.0000  0.03

Summary:
The crystal system is cubic. Its formation energy is -0.37 eV/atom.

***

VASP calculation (GGA-PBE) on crystalline Cs2ScGe at its relaxed geometry.

Cell: 10.4871 10.4871 10.4871 Å, 93.57 93.57 151.10°
Each line ends with the local moment (μB).
Sites, in units of the cell vectors:
1 Ge 0.0000 0.0000 0.0000  0.08
2 Ge 0.2500 0.7500 0.5000  0.08
3 Cs 0.1250 0.9492 0.3242  0.01
4 Cs 0.1992 0.8750 0.8242  0.01
5 Cs 0.6250 0.8008 0.6758  0.01
6 Cs 0.0508 0.3750 0.1758  0.01
7 Sc 0.5000 0.5000 0.0000  0.37
8 Sc 0.7500 0.2500 0.5000  0.37

Summary:
The crystal system is tetragonal. Its formation energy is 0.25 eV/atom.

***

VASP calculation (GGA-PBE) on crystalline TbPrSiS at its relaxed geometry.

Cell: 4.1202 4.1202 7.2215 Å, 73.42 73.42 60.00°
Sites, in units of the cell vectors:
1 Si 0.9409 0.9409 0.1774
2 Pr 0.6937 0.6937 0.9189
3 Tb 0.1939 0.1939 0.4183
4 S 0.4480 0.4480 0.6561

Summary:
The formation energy without anion corrections comes out at -1347 meV per atom. The crystal system is trigonal.

***

no.,uncorrected energy (eV per atom),mass density (g/cm³)
1,-1.91,11.7
2,-9.65,15.0
3,-8.43,11.2
4,-4.83,11.5
5,-2.91,2.4
6,-6.09,6.0